No. 1
VASP calculation (GGA-PBE) on a relaxed structure of In12Hg3Au5.

## Properties
electronic total energy: -2.50 eV/atom
Fermi-level density of states: 0.5963 states/eV/atom

Unit cell a=16.671 b=16.671 c=16.671 alpha=90.00 beta=90.00 gamma=90.00
Space group Ia-3d (No. 230)
One atom of each set of equivalent atoms:
In 0.022 0.075 0.649 (multiplicity 96)
Hg 0.000 0.250 0.125 (multiplicity 24)
Au 0.000 0.000 0.000 (multiplicity 16)
Au 0.000 0.250 0.375 (multiplicity 24)

No. 2
VASP calculation (GGA-PBE) on a relaxed structure of InHgAu2.

## Properties
electronic total energy: -2.39 eV/atom
Fermi-level density of states: 0.2871 states/eV/atom

Unit cell a=4.675 b=4.675 c=3.787 alpha=90.00 beta=90.00 gamma=90.00
Space group P4/mmm (No. 123)
One atom of each set of equivalent atoms:
In 0.000 0.000 0.000 (multiplicity 1)
Hg 0.500 0.500 0.000 (multiplicity 1)
Au 0.000 0.500 0.500 (multiplicity 2)

No. 3
VASP calculation (GGA-PBE) on a relaxed structure of InHg2Au.

## Properties
electronic total energy: -1.68 eV/atom
Fermi-level density of states: 0.2163 states/eV/atom

Unit cell a=6.806 b=4.041 c=7.904 alpha=90.00 beta=107.56 gamma=90.00
Space group Cm (No. 8)
One atom of each set of equivalent atoms:
In 0.000 0.000 0.000 (multiplicity 2)
Hg 0.016 0.500 0.547 (multiplicity 2)
Hg 0.260 0.500 0.277 (multiplicity 2)
Au 0.262 0.000 0.785 (multiplicity 2)

No. 4
VASP calculation (GGA-PBE) on a relaxed structure of InHgAu3.

## Properties
electronic total energy: -2.11 eV/atom
Fermi-level density of states: 0.2304 states/eV/atom

Unit cell a=5.285 b=5.285 c=5.285 alpha=90.00 beta=90.00 gamma=90.00
Space group Pm-3m (No. 221)
One atom of each set of equivalent atoms:
In 0.000 0.000 0.000 (multiplicity 1)
Hg 0.500 0.500 0.500 (multiplicity 1)
Au 0.000 0.500 0.500 (multiplicity 3)

No. 5
VASP calculation (GGA-PBE) on a relaxed structure of In2HgAu8.

## Properties
electronic total energy: -2.96 eV/atom
Fermi-level density of states: 0.2653 states/eV/atom

Unit cell a=17.614 b=3.619 c=7.143 alpha=90.00 beta=109.01 gamma=90.00
Space group C2/m (No. 12)
One atom of each set of equivalent atoms:
In 0.209 0.000 0.153 (multiplicity 4)
Hg 0.000 0.500 0.500 (multiplicity 2)
Au 0.057 0.000 0.241 (multiplicity 4)
Au 0.075 0.500 0.934 (multiplicity 4)
Au 0.151 0.000 0.737 (multiplicity 4)
Au 0.180 0.500 0.453 (multiplicity 4)

No. 6
VASP calculation (GGA-PBE) on a relaxed structure of InHgAu3.

## Properties
electronic total energy: -2.61 eV/atom
Fermi-level density of states: 0.2671 states/eV/atom

Unit cell a=5.437 b=5.675 c=6.959 alpha=90.00 beta=97.38 gamma=90.00
Space group P2_1/m (No. 11)
One atom of each set of equivalent atoms:
In 0.247 0.250 0.104 (multiplicity 2)
Hg 0.065 0.250 0.641 (multiplicity 2)
Au 0.205 0.750 0.753 (multiplicity 2)
Au 0.363 0.750 0.147 (multiplicity 2)
Au 0.500 0.000 0.500 (multiplicity 2)

No. 7
VASP calculation (GGA-PBE) on a relaxed structure of In2HgAu.

## Properties
electronic total energy: -2.28 eV/atom
Fermi-level density of states: 0.3848 states/eV/atom

Unit cell a=3.5645 b=3.5645 c=26.8507 alpha=90.00 beta=90.00 gamma=120.00
Space group R3m (No. 160, hexagonal axes)
One atom of each set of equivalent atoms:
In 0.0000 0.0000 0.0000 (multiplicity 3)
In 0.0000 0.0000 0.2370 (multiplicity 3)
Hg 0.0000 0.0000 0.7538 (multiplicity 3)
Au 0.0000 0.0000 0.4981 (multiplicity 3)

No. 8
VASP calculation (GGA-PBE) on a relaxed structure of In2HgAu.

## Properties
electronic total energy: -2.33 eV/atom
Fermi-level density of states: 0.4474 states/eV/atom

Unit cell a=4.091 b=4.180 c=6.030 alpha=90.00 beta=107.83 gamma=90.00
Space group Pm (No. 6)
One atom of each set of equivalent atoms:
In 0.000 0.000 0.000 (multiplicity 1)
In 0.306 0.500 0.578 (multiplicity 1)
Hg 0.752 0.000 0.457 (multiplicity 1)
Au 0.524 0.500 0.072 (multiplicity 1)

> electronic total energy of number 5 (In2HgAu8)?

-2.96 eV/atom

> What is the formula in the fourth record?

InHgAu3